An optimized crystal structure of MnOsPb2O6, computed with GGA+U.

Cell lengths 5.7400, 5.7840, 9.9405 Å; angles 90.00, 125.24, 90.00 degrees
Element x y z (fractional)
Mn1 0.0000 0.0000 0.0000
Mn2 0.0000 0.5000 0.5000
Os1 0.5000 0.0000 0.5000
Os2 0.5000 0.5000 0.0000
Pb1 0.2418 0.0330 0.7484
Pb2 0.2418 0.4670 0.2484
Pb3 0.7582 0.5330 0.7516
Pb4 0.7582 0.9670 0.2516
O1 0.1906 0.1987 0.4619
O2 0.1906 0.3013 0.9619
O3 0.2633 0.7291 0.4580
O4 0.2633 0.7709 0.9580
O5 0.3422 0.0213 0.2656
O6 0.3422 0.4787 0.7656
O7 0.6578 0.5213 0.2344
O8 0.6578 0.9787 0.7344
O9 0.7367 0.2291 0.0420
O10 0.7367 0.2709 0.5420
O11 0.8094 0.6987 0.0381
O12 0.8094 0.8013 0.5381

Calculated volume = 269.56 Å³/cell
Total energy = -67.784 eV/f.u.